(1)
This record from the Alexandria database describes NaMn3Se at its PBEsol-relaxed geometry. The functional is meta-GGA SCAN.

Cell lengths 4.6007, 4.6007, 4.6007 Å; angles 90.00, 90.00, 90.00 degrees
Fractional coordinates of all 5 atoms:
Na 0.0000 0.0000 0.0000
Mn 0.0000 0.5000 0.5000
Mn 0.5000 0.0000 0.5000
Mn 0.5000 0.5000 0.0000
Se 0.5000 0.5000 0.5000

Summary:
raw formation energy = 271 meV per atom
theoretical density = 4.55 g/cm3
electronic total energy = -15.5412 eV per atom

(2)
This record from the Alexandria database describes CrOsAu2 at its PBEsol-relaxed geometry. The functional is meta-GGA SCAN.

Cell lengths 3.8511, 3.8511, 4.0437 Å; angles 90.00, 90.00, 90.00 degrees
Fractional coordinates of all 4 atoms:
Cr 0.0000 0.0000 0.0000
Os 0.5000 0.5000 0.0000
Au 0.0000 0.5000 0.5000
Au 0.5000 0.0000 0.5000

Summary:
ΔE_f = 1.31 eV/f.u.
theoretical density = 17.61 g/cm3
electronic total energy = -56.8167 eV per atom

(3)
This record from the Alexandria database describes CaAlIn2 at its PBEsol-relaxed geometry. The functional is meta-GGA SCAN.

Cell lengths 5.0671, 5.0671, 5.8705 Å; angles 101.70, 101.70, 41.73 degrees
Fractional coordinates of all 4 atoms:
Ca 0.0000 0.0000 0.0000
Al 0.5000 0.5000 0.5000
In 0.2391 0.2391 0.7133
In 0.7609 0.7609 0.2867

Summary:
ΔE_f = -0.85 eV/f.u.
theoretical density = 5.03 g/cm3
electronic total energy = -21.2593 eV per atom

(4)
This record from the Alexandria database describes Ba2SnAsP at its PBEsol-relaxed geometry. The functional is meta-GGA SCAN.

Cell lengths 6.2611, 6.2611, 4.5705 Å; angles 90.00, 90.00, 90.00 degrees
Fractional coordinates of all 5 atoms:
Ba 0.0000 0.5000 0.0000
Ba 0.5000 0.0000 0.0000
Sn 0.0000 0.0000 0.5000
As 0.5000 0.5000 0.0000
P 0.5000 0.5000 0.5000

Summary:
ΔE_f = -1.84 eV/f.u.
theoretical density = 4.63 g/cm3
electronic total energy = -29.4896 eV per atom

(5)
This record from the Alexandria database describes LaTl2InSi at its PBEsol-relaxed geometry. The functional is meta-GGA SCAN.

Cell lengths 5.4663, 5.4663, 5.0829 Å; angles 90.00, 90.00, 90.00 degrees
Fractional coordinates of all 5 atoms:
La 0.0000 0.0000 0.0000
Tl 0.0000 0.5000 0.5000
Tl 0.5000 0.0000 0.5000
In 0.5000 0.5000 0.5000
Si 0.5000 0.5000 0.0000

Summary:
raw formation energy = 327 meV per atom
theoretical density = 7.55 g/cm3
electronic total energy = -45.9173 eV per atom

(6)
This record from the Alexandria database describes NiPtRh2 at its PBEsol-relaxed geometry. The functional is meta-GGA SCAN.

Cell lengths 2.6784, 3.7066, 5.3098 Å; angles 90.00, 90.00, 90.00 degrees
Fractional coordinates of all 4 atoms:
Ni 0.0000 0.0000 0.0000
Pt 0.5000 0.5000 0.2456
Rh 0.0000 0.0000 0.5122
Rh 0.5000 0.5000 0.7551

Summary:
ΔE_f = -0.12 eV/f.u.
theoretical density = 14.48 g/cm3
electronic total energy = -38.5084 eV per atom

(7)
This record from the Alexandria database describes Ag2TeCl at its PBEsol-relaxed geometry. The functional is meta-GGA SCAN.

Cell lengths 4.8742, 4.8742, 4.8742 Å; angles 60.00, 60.00, 60.00 degrees
Fractional coordinates of all 4 atoms:
Ag 0.0000 0.0000 0.0000
Ag 0.2500 0.2500 0.2500
Te 0.7500 0.7500 0.7500
Cl 0.5000 0.5000 0.5000

Summary:
raw formation energy = 226 meV per atom
theoretical density = 7.68 g/cm3
energy above the lowest structure with this stoichiometry = 488 meV per atom
electronic total energy = -26.7652 eV per atom

(8)
This record from the Alexandria database describes HOsCBr2 at its PBEsol-relaxed geometry. The functional is meta-GGA SCAN.

Cell lengths 4.8344, 4.8344, 3.8213 Å; angles 90.00, 90.00, 90.00 degrees
Fractional coordinates of all 5 atoms:
H 0.0000 0.0000 0.0000
Os 0.5000 0.5000 0.0000
C 0.5000 0.5000 0.5000
Br 0.0000 0.5000 0.5000
Br 0.5000 0.0000 0.5000

Summary:
theoretical density = 6.75 g/cm3
electronic total energy = -23.0840 eV per atom

(9)
This record from the Alexandria database describes TaBeTc at its PBEsol-relaxed geometry. The functional is meta-GGA SCAN.

Cell lengths 4.1409, 4.1409, 4.1409 Å; angles 60.00, 60.00, 60.00 degrees
Fractional coordinates of all 3 atoms:
Ta 0.0000 0.0000 0.0000
Be 0.7500 0.7500 0.7500
Tc 0.2500 0.2500 0.2500

Summary:
ΔE_f = 2.44 eV/f.u.
theoretical density = 9.52 g/cm3
electronic total energy = -34.5182 eV per atom

(10)
This record from the Alexandria database describes CrIr4 at its PBEsol-relaxed geometry. The functional is meta-GGA SCAN.

Cell lengths 4.6339, 4.6339, 4.6339 Å; angles 99.55, 99.55, 131.92 degrees
Fractional coordinates of all 5 atoms:
Cr 0.0000 0.0000 0.0000
Ir 0.2056 0.6031 0.8087
Ir 0.3969 0.2056 0.6025
Ir 0.6031 0.7944 0.3975
Ir 0.7944 0.3969 0.1913

Summary:
ΔE_f = -1.09 eV/f.u.
theoretical density = 20.16 g/cm3
electronic total energy = -60.7746 eV per atom

(11)
This record from the Alexandria database describes NdB4 at its PBEsol-relaxed geometry. The functional is meta-GGA SCAN.

Cell lengths 4.6669, 4.6669, 4.6669 Å; angles 136.01, 105.91, 90.37 degrees
Fractional coordinates of all 5 atoms:
Nd 0.0000 0.0000 0.0000
B 0.2192 0.3691 0.8501
B 0.4810 0.6309 0.8501
B 0.5190 0.3691 0.1499
B 0.7808 0.6309 0.1499

Summary:
ΔE_f = 2.61 eV/f.u.
theoretical density = 4.81 g/cm3
energy above the lowest structure with this stoichiometry = 1157 meV per atom
electronic total energy = -14.1389 eV per atom

(12)
This record from the Alexandria database describes YMg2P2 at its PBEsol-relaxed geometry. The functional is meta-GGA SCAN.

Cell lengths 6.7096, 6.7096, 6.7096 Å; angles 146.09, 146.09, 48.72 degrees
Fractional coordinates of all 5 atoms:
Y 0.0000 0.0000 0.0000
Mg 0.2500 0.7500 0.5000
Mg 0.7500 0.2500 0.5000
P 0.3889 0.3889 0.0000
P 0.6111 0.6111 0.0000

Summary:
ΔE_f = -3.98 eV/f.u.
theoretical density = 3.54 g/cm3
electronic total energy = -12.5138 eV per atom

(13)
This record from the Alexandria database describes CrRh3 at its PBEsol-relaxed geometry. The functional is meta-GGA SCAN.

Cell lengths 4.9846, 4.9846, 4.9846 Å; angles 149.08, 64.43, 125.02 degrees
Fractional coordinates of all 4 atoms:
Cr 0.0000 0.0000 0.0000
Rh 0.4104 0.6679 0.7426
Rh 0.5183 0.0183 0.5000
Rh 0.9253 0.6679 0.2574

Summary:
ΔE_f = -0.17 eV/f.u.
theoretical density = 11.61 g/cm3
electronic total energy = -29.9679 eV per atom

(14)
This record from the Alexandria database describes Ba3MgSi at its PBEsol-relaxed geometry. The functional is meta-GGA SCAN.

Cell lengths 6.3323, 6.3323, 6.3323 Å; angles 90.00, 90.00, 90.00 degrees
Fractional coordinates of all 5 atoms:
Ba 0.0000 0.0000 0.5000
Ba 0.0000 0.5000 0.0000
Ba 0.5000 0.0000 0.0000
Mg 0.5000 0.5000 0.5000
Si 0.0000 0.0000 0.0000

Summary:
raw formation energy = 29 meV per atom
theoretical density = 3.04 g/cm3
electronic total energy = -26.6994 eV per atom

(15)
This record from the Alexandria database describes Gd3Bi2O8 at its PBEsol-relaxed geometry. The functional is meta-GGA SCAN.

Cell lengths 6.7699, 6.7699, 9.5356 Å; angles 118.99, 118.99, 31.93 degrees
Fractional coordinates of all 13 atoms:
Gd 0.0000 0.0000 0.0000
Gd 0.3860 0.3860 0.6225
Gd 0.5553 0.5553 0.3753
Bi 0.1728 0.1728 0.7566
Bi 0.7780 0.7780 0.1929
O 0.1823 0.1823 0.5128
O 0.1972 0.1972 0.0303
O 0.3595 0.3595 0.3594
O 0.3814 0.3814 0.8693
O 0.5779 0.5779 0.6332
O 0.6032 0.6032 0.1745
O 0.9526 0.9526 0.2074
O 0.9721 0.9721 0.7378

Summary:
raw formation energy = -2544 meV per atom
theoretical density = 8.46 g/cm3
electronic total energy = -32.0404 eV per atom

(16)
This record from the Alexandria database describes In2Ir at its PBEsol-relaxed geometry. The functional is meta-GGA SCAN.

Cell lengths 10.2469, 9.3877, 5.5693 Å; angles 82.22, 65.19, 32.58 degrees
Fractional coordinates of all 12 atoms:
In 0.0399 0.0399 0.2101
In 0.2101 0.2101 0.0399
In 0.2191 0.5309 0.2191
In 0.4691 0.7809 0.4691
In 0.5309 0.2191 0.5309
In 0.7809 0.4691 0.7809
In 0.7899 0.7899 0.9601
In 0.9601 0.9601 0.7899
Ir 0.2443 0.2443 0.5057
Ir 0.4943 0.4943 0.7557
Ir 0.5057 0.5057 0.2443
Ir 0.7557 0.7557 0.4943

Summary:
ΔE_f = -0.62 eV/f.u.
theoretical density = 11.96 g/cm3
electronic total energy = -46.1628 eV per atom

(17)
This record from the Alexandria database describes BaCo2 at its PBEsol-relaxed geometry. The functional is meta-GGA SCAN.

Cell lengths 5.9789, 5.9789, 4.2527 Å; angles 90.00, 90.00, 47.86 degrees
Fractional coordinates of all 6 atoms:
Ba 0.2444 0.7556 0.7500
Ba 0.7556 0.2444 0.2500
Co 0.1329 0.3949 0.2500
Co 0.3949 0.1329 0.7500
Co 0.6051 0.8671 0.2500
Co 0.8671 0.6051 0.7500

Summary:
ΔE_f = 1.41 eV/f.u.
theoretical density = 7.52 g/cm3
electronic total energy = -24.2497 eV per atom

(18)
This record from the Alexandria database describes LaFeCl at its PBEsol-relaxed geometry. The functional is meta-GGA SCAN.

Cell lengths 4.7774, 4.7774, 4.7774 Å; angles 60.00, 60.00, 60.00 degrees
Fractional coordinates of all 3 atoms:
La 0.0000 0.0000 0.0000
Fe 0.2500 0.2500 0.2500
Cl 0.7500 0.7500 0.7500

Summary:
raw formation energy = -190 meV per atom
theoretical density = 4.96 g/cm3
electronic total energy = -23.2610 eV per atom

(19)
This record from the Alexandria database describes BOsN3 at its PBEsol-relaxed geometry. The functional is meta-GGA SCAN.

Cell lengths 3.3532, 3.3532, 3.3532 Å; angles 90.00, 90.00, 90.00 degrees
Fractional coordinates of all 5 atoms:
B 0.0000 0.0000 0.0000
Os 0.5000 0.5000 0.5000
N 0.0000 0.0000 0.5000
N 0.0000 0.5000 0.0000
N 0.5000 0.0000 0.0000

Summary:
raw formation energy = 1719 meV per atom
theoretical density = 10.71 g/cm3
electronic total energy = -19.7175 eV per atom

(20)
This record from the Alexandria database describes CdCu4Au at its PBEsol-relaxed geometry. The functional is meta-GGA SCAN.

Cell lengths 4.8638, 4.8638, 4.8638 Å; angles 60.00, 60.00, 60.00 degrees
Fractional coordinates of all 6 atoms:
Cd 0.0000 0.0000 0.0000
Cu 0.1254 0.6249 0.6249
Cu 0.6249 0.1254 0.6249
Cu 0.6249 0.6249 0.1254
Cu 0.6249 0.6249 0.6249
Au 0.2500 0.2500 0.2500

Summary:
ΔE_f = -0.13 eV/f.u.
theoretical density = 11.50 g/cm3
electronic total energy = -26.7495 eV per atom

(21)
This record from the Alexandria database describes PuAl3Pd2 at its PBEsol-relaxed geometry. The functional is meta-GGA SCAN.

Cell lengths 5.3712, 5.3712, 4.1514 Å; angles 90.00, 90.00, 120.00 degrees
Fractional coordinates of all 6 atoms:
Pu 0.0000 0.0000 0.0000
Al 0.0000 0.5000 0.5000
Al 0.5000 0.0000 0.5000
Al 0.5000 0.5000 0.5000
Pd 0.3333 0.6667 0.0000
Pd 0.6667 0.3333 0.0000

Summary:
ΔE_f = -4.04 eV/f.u.
theoretical density = 8.61 g/cm3
electronic total energy = -33.8301 eV per atom

(22)
This record from the Alexandria database describes Ag2PbSe2 at its PBEsol-relaxed geometry. The functional is meta-GGA SCAN.

Cell lengths 7.6348, 7.6348, 7.6348 Å; angles 150.08, 150.08, 42.83 degrees
Fractional coordinates of all 5 atoms:
Ag 0.2500 0.7500 0.5000
Ag 0.7500 0.2500 0.5000
Pb 0.0000 0.0000 0.0000
Se 0.3848 0.3848 0.0000
Se 0.6152 0.6152 0.0000

Summary:
raw formation energy = -193 meV per atom
theoretical density = 8.73 g/cm3
electronic total energy = -35.9277 eV per atom

(23)
This record from the Alexandria database describes TaRu2Au at its PBEsol-relaxed geometry. The functional is meta-GGA SCAN.

Cell lengths 4.4346, 4.4346, 4.4346 Å; angles 60.00, 60.00, 60.00 degrees
Fractional coordinates of all 4 atoms:
Ta 0.0000 0.0000 0.0000
Ru 0.5000 0.5000 0.5000
Ru 0.7500 0.7500 0.7500
Au 0.2500 0.2500 0.2500

Summary:
ΔE_f = 0.89 eV/f.u.
theoretical density = 15.62 g/cm3
energy above the lowest structure with this stoichiometry = 492 meV per atom
electronic total energy = -51.1265 eV per atom

(24)
This record from the Alexandria database describes CuRe3P at its PBEsol-relaxed geometry. The functional is meta-GGA SCAN.

Cell lengths 4.3094, 4.3094, 4.3094 Å; angles 90.00, 90.00, 90.00 degrees
Fractional coordinates of all 5 atoms:
Cu 0.0000 0.0000 0.0000
Re 0.0000 0.5000 0.5000
Re 0.5000 0.0000 0.5000
Re 0.5000 0.5000 0.0000
P 0.5000 0.5000 0.5000

Summary:
ΔE_f = 5.87 eV/f.u.
theoretical density = 13.55 g/cm3
electronic total energy = -46.6049 eV per atom

(25)
This record from the Alexandria database describes Zr2ScSn2 at its PBEsol-relaxed geometry. The functional is meta-GGA SCAN.

Cell lengths 7.5709, 7.5709, 3.8891 Å; angles 90.00, 90.00, 90.00 degrees
Fractional coordinates of all 10 atoms:
Zr 0.1635 0.3365 0.0000
Zr 0.3365 0.8365 0.0000
Zr 0.6635 0.1635 0.0000
Zr 0.8365 0.6635 0.0000
Sc 0.0000 0.0000 0.5000
Sc 0.5000 0.5000 0.5000
Sn 0.1373 0.6373 0.5000
Sn 0.3627 0.1373 0.5000
Sn 0.6373 0.8627 0.5000
Sn 0.8627 0.3627 0.5000

Summary:
ΔE_f = -3.20 eV/f.u.
theoretical density = 6.93 g/cm3
electronic total energy = -30.1364 eV per atom

(26)
This record from the Alexandria database describes CrPt2 at its PBEsol-relaxed geometry. The functional is meta-GGA SCAN.

Cell lengths 6.1230, 6.1230, 3.8704 Å; angles 90.00, 90.00, 144.36 degrees
Fractional coordinates of all 6 atoms:
Cr 0.0877 0.9123 0.7500
Cr 0.9123 0.0877 0.2500
Pt 0.2521 0.7479 0.2500
Pt 0.4225 0.5775 0.7500
Pt 0.5775 0.4225 0.2500
Pt 0.7479 0.2521 0.7500

Summary:
ΔE_f = -1.18 eV/f.u.
theoretical density = 17.37 g/cm3
electronic total energy = -53.3164 eV per atom

(27)
This record from the Alexandria database describes TaCr2Mo at its PBEsol-relaxed geometry. The functional is meta-GGA SCAN.

Cell lengths 4.9677, 4.9677, 4.9677 Å; angles 144.25, 128.11, 64.61 degrees
Fractional coordinates of all 4 atoms:
Ta 0.0000 0.0000 0.0000
Cr 0.2547 0.7547 0.5000
Cr 0.7453 0.2453 0.5000
Mo 0.5000 0.5000 0.0000

Summary:
ΔE_f = 0.25 eV/f.u.
theoretical density = 11.37 g/cm3
energy above the lowest structure with this stoichiometry = 80 meV per atom
electronic total energy = -34.4964 eV per atom

(28)
This record from the Alexandria database describes Ti2Ga2Au at its PBEsol-relaxed geometry. The functional is meta-GGA SCAN.

Cell lengths 6.4341, 6.4341, 3.8458 Å; angles 90.00, 90.00, 90.00 degrees
Fractional coordinates of all 10 atoms:
Ti 0.1632 0.3368 0.0000
Ti 0.3368 0.8368 0.0000
Ti 0.6632 0.1632 0.0000
Ti 0.8368 0.6632 0.0000
Ga 0.1345 0.6345 0.5000
Ga 0.3655 0.1345 0.5000
Ga 0.6345 0.8655 0.5000
Ga 0.8655 0.3655 0.5000
Au 0.0000 0.0000 0.5000
Au 0.5000 0.5000 0.5000

Summary:
ΔE_f = -2.92 eV/f.u.
theoretical density = 9.01 g/cm3
electronic total energy = -27.3658 eV per atom